[1]
This record from Alexandria via LeMat-Bulk describes CeTh4Sc8 after structural relaxation. The functional is GGA-PBE.

Cell lengths 7.017, 7.016, 9.270 Å; angles 90.00, 112.25, 120.00 degrees
Positions (direct):
Ce1 0.000 0.500 0.500
Th1 0.000 0.000 0.000
Th2 0.000 0.500 0.000
Th3 0.500 0.500 0.000
Th4 0.500 0.000 0.000
Sc1 0.563 0.781 0.344
Sc2 0.437 0.219 0.656
Sc3 0.508 0.254 0.319
Sc4 0.935 0.189 0.681
Sc5 0.492 0.746 0.681
Sc6 0.935 0.746 0.681
Sc7 0.065 0.254 0.319
Sc8 0.065 0.811 0.319

Results
- Final energy: -0.4722 Ry/atom
- Symmetry: R-3m
- Spin magnetization: 0.2210 μB per atom


[2]
This record from Alexandria via LeMat-Bulk describes NaTmMg2 after structural relaxation. The functional is GGA-PBE.

Cell lengths 3.462, 5.630, 5.630 Å; angles 90.00, 90.00, 90.00 degrees
Positions (direct):
Na1 0.500 0.500 0.500
Mg1 0.000 0.000 0.500
Mg2 0.000 0.500 0.000
Tm1 0.500 0.000 0.000

Results
- Final energy: -0.1589 Ry/atom
- Symmetry: P4/mmm
- Spin magnetization: 0.0000 μB per atom